[1]
! KSc2Be (PBE, relaxed); values from VASP
&SYSTEM
  ibrav = 0, nat = 4, ntyp = 3
/
ATOMIC_SPECIES
Sc 44.96 Sc.upf
Be 9.01 Be.upf
K 39.10 K.upf
ATOMIC_POSITIONS angstrom
Sc 0.0000 0.0000 0.0000
Sc -3.1085 0.7774 -1.2699
Be -1.6600 2.5209 0.9290
K -2.6955 -0.7210 1.4792
CELL_PARAMETERS angstrom
-2.0729 4.0193 -1.8201
-4.1440 -2.4645 -0.7198
-1.2470 1.0225 3.6782
! Formation enthalpy at 0 K: 897 meV/atom
! Crystal system: tetragonal
! Symmetry: No. 123
! Spin magnetization: 0.00 μB/cell

---

[2]
! CuGeSeN2 (PBE, relaxed); values from VASP
&SYSTEM
  ibrav = 0, nat = 5, ntyp = 4
/
ATOMIC_SPECIES
Ge 72.64 Ge.upf
Cu 63.55 Cu.upf
Se 78.96 Se.upf
N 14.01 N.upf
ATOMIC_POSITIONS angstrom
Ge 0.0000 0.0000 0.0000
Cu 1.8078 1.8078 3.1597
Se 0.0000 0.0000 3.1597
N 0.0000 1.8078 0.0000
N 1.8078 0.0000 0.0000
CELL_PARAMETERS angstrom
3.6156 0.0000 0.0000
0.0000 3.6156 0.0000
0.0000 0.0000 6.3195
! Distance to the lowest polymorph of the same formula: 0.0 meV per atom
! Crystal system: tetragonal
! E_form (uncorrected): 1.149 eV/atom
! Symmetry: No. 123
! Spin magnetization: 0.40 μB/cell

---

[3]
! ScFe2Os (PBE, relaxed); values from VASP
&SYSTEM
  ibrav = 0, nat = 4, ntyp = 3
/
ATOMIC_SPECIES
Fe 55.84 Fe.upf
Os 190.23 Os.upf
Sc 44.96 Sc.upf
ATOMIC_POSITIONS angstrom
Fe 0.0000 0.0000 0.0000
Fe 1.5663 2.1334 0.0000
Os 1.5663 0.0000 2.1321
Sc 0.0000 2.1334 2.1321
CELL_PARAMETERS angstrom
3.1326 0.0000 0.0000
0.0000 4.2668 0.0000
0.0000 0.0000 4.2641
! Formation enthalpy at 0 K: 21 meV/atom
! Distance to the lowest polymorph of the same formula: 28.2 meV per atom
! Crystal system: orthorhombic
! Symmetry: No. 47
! Spin magnetization: 4.73 μB/cell

---

[4]
! MgAsAu (PBE, relaxed); values from VASP
&SYSTEM
  ibrav = 0, nat = 6, ntyp = 3
/
ATOMIC_SPECIES
Mg 24.30 Mg.upf
Au 196.97 Au.upf
As 74.92 As.upf
ATOMIC_POSITIONS angstrom
Mg 7.8856 3.3921 1.1771
Mg 3.6903 0.3258 0.7421
Au 8.3160 3.2345 4.0003
Au 5.5455 1.9392 2.3069
As 1.7097 0.9515 2.6560
As 5.2301 4.1926 3.6581
CELL_PARAMETERS angstrom
6.9217 0.0296 -0.0072
1.1848 3.9858 0.0038
2.2866 1.4546 4.3879
! Formation enthalpy at 0 K: -302 meV/atom
! Crystal system: triclinic
! Symmetry: No. 2
! Spin magnetization: 0.00 μB/cell

---

[5]
! BeCl2 (PBE, relaxed); values from VASP
&SYSTEM
  ibrav = 0, nat = 6, ntyp = 2
/
ATOMIC_SPECIES
Be 9.01 Be.upf
Cl 35.45 Cl.upf
ATOMIC_POSITIONS angstrom
Be 0.0000 1.4721 0.0062
Be 0.0000 4.5777 5.3314
Cl 0.0000 6.7964 1.2264
Cl 0.0000 6.5750 5.7247
Cl 0.0000 9.8133 4.1734
Cl 0.0000 3.6288 7.1507
CELL_PARAMETERS angstrom
1.6249 5.7097 -0.0340
-1.6249 5.7097 -0.0340
0.0000 0.1605 7.5175
! Distance to the lowest polymorph of the same formula: 160.8 meV per atom
! Crystal system: monoclinic
! E_form (uncorrected): -1.273 eV/atom
! Symmetry: No. 8
! Spin magnetization: 0.00 μB/cell

---

[6]
! KRb2GeP (PBE, relaxed); values from VASP
&SYSTEM
  ibrav = 0, nat = 5, ntyp = 4
/
ATOMIC_SPECIES
P 30.97 P.upf
Ge 72.64 Ge.upf
K 39.10 K.upf
Rb 85.47 Rb.upf
ATOMIC_POSITIONS angstrom
P -5.2357 1.1033 1.9796
Ge 0.0000 0.0000 0.0000
K -2.4848 0.7165 -1.8549
Rb -1.9198 -2.1052 1.7585
Rb -0.8311 2.4919 2.0759
CELL_PARAMETERS angstrom
-1.6621 4.9839 4.1519
-4.9697 1.4331 -3.7098
-3.8395 -4.2104 3.5171
! Formation enthalpy at 0 K: 557 meV/atom
! Crystal system: tetragonal
! Symmetry: No. 123
! Spin magnetization: 4.00 μB/cell

---

[7]
! FeSiH3 (PBE, relaxed); values from VASP
&SYSTEM
  ibrav = 0, nat = 5, ntyp = 3
/
ATOMIC_SPECIES
H 1.01 H.upf
Si 28.09 Si.upf
Fe 55.84 Fe.upf
ATOMIC_POSITIONS angstrom
H 0.0000 1.6368 0.0000
H 0.0000 0.0000 1.6368
H 1.6368 0.0000 0.0000
Si 1.6368 1.6368 1.6368
Fe 0.0000 0.0000 0.0000
CELL_PARAMETERS angstrom
3.2737 0.0000 0.0000
0.0000 3.2737 0.0000
0.0000 0.0000 3.2737
! Distance to the lowest polymorph of the same formula: 0.0 meV per atom
! Crystal system: cubic
! Symmetry: No. 221
! Spin magnetization: 0.00 μB/cell

---

[8]
! Li2ErInAu2 (PBE, relaxed); values from VASP
&SYSTEM
  ibrav = 0, nat = 6, ntyp = 4
/
ATOMIC_SPECIES
Li 6.94 Li.upf
Er 167.26 Er.upf
In 114.82 In.upf
Au 196.97 Au.upf
ATOMIC_POSITIONS angstrom
Li -3.1685 1.1284 3.8701
Li -3.2714 -0.1402 0.5764
Er 0.0000 0.0000 0.0000
In -1.8338 2.1592 1.5386
Au -1.5665 -0.7580 2.5259
Au -4.8735 1.7462 1.9206
CELL_PARAMETERS angstrom
-3.5570 -1.1937 -2.5641
0.7846 -2.1365 3.9333
-3.6675 4.3185 3.0772
! Formation enthalpy at 0 K: -580 meV/atom
! Crystal system: trigonal
! Symmetry: No. 164
! Spin magnetization: 0.00 μB/cell

---

[9]
! Pr2ErHg (PBE, relaxed); values from VASP
&SYSTEM
  ibrav = 0, nat = 4, ntyp = 3
/
ATOMIC_SPECIES
Pr 140.91 Pr.upf
Hg 200.59 Hg.upf
Er 167.26 Er.upf
ATOMIC_POSITIONS angstrom
Pr 1.7633 1.0181 8.6280
Pr 5.2900 3.0542 3.4107
Hg 3.5266 2.0361 6.0193
Er 0.0000 0.0000 0.0000
CELL_PARAMETERS angstrom
3.5266 0.0000 0.0000
1.7633 3.0542 0.0000
1.7633 1.0181 12.0387
! Formation enthalpy at 0 K: 84 meV/atom
! Distance to the lowest polymorph of the same formula: 313.1 meV per atom
! Crystal system: trigonal
! Symmetry: No. 166
! Spin magnetization: 0.00 μB/cell

---

[10]
! Ce3ThPa2As6 (PBE, relaxed); values from VASP
&SYSTEM
  ibrav = 0, nat = 12, ntyp = 4
/
ATOMIC_SPECIES
Ce 140.12 Ce.upf
Th 232.04 Th.upf
Pa 231.04 Pa.upf
As 74.92 As.upf
ATOMIC_POSITIONS angstrom
Ce -2.4371 4.1912 3.4201
Ce 4.8482 -0.0163 3.4201
Ce 1.2056 2.0874 3.4201
Th 0.0000 0.0000 0.0000
Pa -0.0041 4.1791 0.0002
Pa 3.6218 2.0850 0.0002
As 3.6431 2.0379 5.1633
As 2.3830 4.1261 1.6647
As -1.2320 2.1370 1.6770
As -0.0555 4.1740 5.1633
As 0.0281 0.0487 5.1755
As 2.4667 0.0008 1.6770
CELL_PARAMETERS angstrom
7.2330 -0.0006 0.0002
-3.6153 6.2647 0.0002
-1.2066 -2.0892 6.8398
! Formation enthalpy at 0 K: -1300 meV/atom
! Crystal system: monoclinic
! Symmetry: No. 12
! Spin magnetization: 2.19 μB/cell

---

[11]
! NaCr (PBE, relaxed); values from VASP
&SYSTEM
  ibrav = 0, nat = 16, ntyp = 2
/
ATOMIC_SPECIES
Na 22.99 Na.upf
Cr 52.00 Cr.upf
ATOMIC_POSITIONS angstrom
Na -3.8222 2.7217 10.1953
Na -3.3461 3.7109 5.1781
Na -2.2204 1.0606 7.3911
Na -4.9479 5.3720 7.9823
Na 0.9519 0.2233 2.7630
Na -5.7403 7.6451 13.1192
Na -4.3570 8.8981 3.1154
Na -0.4314 -1.0296 12.7669
Cr -1.8303 1.9035 3.1888
Cr -5.3380 4.5292 12.1846
Cr -5.6332 7.3205 5.6898
Cr -1.5351 -0.8879 9.6836
Cr -4.2245 5.8377 11.1300
Cr -0.5639 2.0307 4.7523
Cr -1.1167 0.9188 10.4743
Cr -3.6717 6.9496 5.4079
CELL_PARAMETERS angstrom
-6.9106 10.3359 3.1566
-0.2576 -3.9032 12.2168
2.3799 1.4358 0.5089
! Formation enthalpy at 0 K: 1052 meV/atom
! Distance to the lowest polymorph of the same formula: 264.9 meV per atom
! Crystal system: tetragonal
! Symmetry: No. 87
! Spin magnetization: 0.00 μB/cell

---

[12]
! YRhI3 (PBE, relaxed); values from VASP
&SYSTEM
  ibrav = 0, nat = 5, ntyp = 3
/
ATOMIC_SPECIES
I 126.90 I.upf
Y 88.91 Y.upf
Rh 102.91 Rh.upf
ATOMIC_POSITIONS angstrom
I 0.0000 2.6828 0.0000
I 0.0000 0.0000 2.6828
I 2.6828 0.0000 0.0000
Y 2.6828 2.6828 2.6828
Rh 0.0000 0.0000 0.0000
CELL_PARAMETERS angstrom
5.3657 0.0000 0.0000
0.0000 5.3657 0.0000
0.0000 0.0000 5.3657
! Distance to the lowest polymorph of the same formula: 0.0 meV per atom
! Crystal system: cubic
! E_form (uncorrected): -0.122 eV/atom
! Symmetry: No. 221
! Spin magnetization: 0.00 μB/cell